# HoSiI, relaxed, DFT PBE-GGA
# * uncorrected energy: -14.546 eV per formula unit
# * uncorrected formation energy: -998 meV per atom
# * magnetization: 0.00 Bohr magnetons per cell
data_HoSiI
_chemical_formula_sum 'Ho2 Si2 I2'
_symmetry_space_group_name_H-M 'P -1'
_symmetry_Int_Tables_number 2
_cell_length_a 4.0753
_cell_length_b 4.0953
_cell_length_c 12.6896
_cell_angle_alpha 83.55
_cell_angle_beta 81.36
_cell_angle_gamma 61.26
loop_
_symmetry_equiv_pos_as_xyz
'x,y,z'
'-x,-y,-z'
loop_
_atom_site_label
_atom_site_type_symbol
_atom_site_fract_x
_atom_site_fract_y
_atom_site_fract_z
Ho1 Ho 0.0590 0.0271 0.3516
Si1 Si 0.3296 0.3301 0.5074
I1 I 0.4576 0.3902 0.1888